Density functional theory data (PBE) for a geometry-optimized RbY2AgO4 structure.

Computed properties:
ΔE_f (raw) in meV/atom: -2279.8
Crystal system: orthorhombic
Theoretical density in Mg/m³: 5.38

```
data_RbY2AgO4
_chemical_formula_sum 'Rb4 Y8 Ag4 O16'
_symmetry_space_group_name_H-M 'C m c m'
_symmetry_Int_Tables_number 63
_symmetry_space_group_name_Hall '-C 2c 2'
_cell_length_a 3.5712
_cell_length_b 11.9838
_cell_length_c 12.5540
_cell_angle_alpha 90.00
_cell_angle_beta 90.00
_cell_angle_gamma 90.00
loop_
_atom_site_label
_atom_site_type_symbol
_atom_site_fract_x
_atom_site_fract_y
_atom_site_fract_z
_atom_site_occupancy
Rb1 Rb 0.0000 0.0889 0.2500 1
Y1 Y 0.0000 0.3664 0.0589 1
Ag1 Ag 0.0000 0.1947 0.7500 1
O1 O 0.0000 0.0000 0.0000 1
O2 O 0.0000 0.2505 0.5828 1
O3 O 0.0000 0.4236 0.2500 1
```

=====

Density functional theory data (PBE) for a geometry-optimized Rb2ZnAgO2 structure.

Computed properties:
ΔE_f (raw) in meV/atom: -861.7
Crystal system: orthorhombic
Theoretical density in Mg/m³: 3.93

```
data_Rb2ZnAgO2
_chemical_formula_sum 'Rb8 Zn4 Ag4 O8'
_symmetry_space_group_name_H-M 'C m c m'
_symmetry_Int_Tables_number 63
_symmetry_space_group_name_Hall '-C 2c 2'
_cell_length_a 13.0478
_cell_length_b 8.6770
_cell_length_c 5.6113
_cell_angle_alpha 90.00
_cell_angle_beta 90.00
_cell_angle_gamma 90.00
loop_
_atom_site_label
_atom_site_type_symbol
_atom_site_fract_x
_atom_site_fract_y
_atom_site_fract_z
_atom_site_occupancy
Rb1 Rb 0.1834 0.1432 0.2500 1
Zn1 Zn 0.0000 0.2120 0.7500 1
Ag1 Ag 0.0000 0.5000 0.0000 1
O1 O 0.1360 0.1860 0.7500 1
```

=====

Density functional theory data (PBE) for a geometry-optimized RbZnAgO2 structure.

Computed properties:
ΔE_f (raw) in meV/atom: -966.6
Crystal system: orthorhombic
Theoretical density in Mg/m³: 5.03

```
data_RbZnAgO2
_chemical_formula_sum 'Rb4 Zn4 Ag4 O8'
_symmetry_space_group_name_H-M 'C m m e'
_symmetry_Int_Tables_number 67
_symmetry_space_group_name_Hall '-C 2a 2'
_cell_length_a 5.6434
_cell_length_b 12.2617
_cell_length_c 5.5464
_cell_angle_alpha 90.00
_cell_angle_beta 90.00
_cell_angle_gamma 90.00
loop_
_atom_site_label
_atom_site_type_symbol
_atom_site_fract_x
_atom_site_fract_y
_atom_site_fract_z
_atom_site_occupancy
Rb1 Rb 0.0000 0.2500 0.2146 1
Zn1 Zn 0.2500 0.0000 0.0000 1
Ag1 Ag 0.0000 0.0000 0.5000 1
O1 O 0.0000 0.0908 0.8269 1
```

=====

Density functional theory data (PBE) for a geometry-optimized Rb2Zr3AgO8 structure.

Computed properties:
ΔE_f (raw) in meV/atom: -2392.0
Crystal system: trigonal
Theoretical density in Mg/m³: 4.33

```
data_Rb2Zr3AgO8
_chemical_formula_sum 'Rb6 Zr9 Ag3 O24'
_symmetry_space_group_name_H-M 'R 3 m'
_symmetry_Int_Tables_number 160
_symmetry_space_group_name_Hall 'R 3 -2"'
_cell_length_a 6.6072
_cell_length_b 6.6072
_cell_length_c 20.6876
_cell_angle_alpha 90.00
_cell_angle_beta 90.00
_cell_angle_gamma 120.00
loop_
_atom_site_label
_atom_site_type_symbol
_atom_site_fract_x
_atom_site_fract_y
_atom_site_fract_z
_atom_site_occupancy
Rb1 Rb 0.0000 0.0000 0.0000 1
Rb2 Rb 0.0000 0.0000 0.3613 1
Zr1 Zr 0.1689 0.3378 0.8308 1
Ag1 Ag 0.0000 0.0000 0.5584 1
O1 O 0.0000 0.0000 0.2192 1
O2 O 0.0000 0.0000 0.7821 1
O3 O 0.0323 0.5162 0.7818 1
O4 O 0.1870 0.3740 0.5563 1
```